No. 1
# ZrGeSe3

A geometry-optimized ZrGeSe3 structure (PBE, Alexandria via LeMat-Bulk). Values from VASP.

ΔE_f (raw) (eV per atom): 0.143
Relative energy among the computed polymorphs (eV/atom): 1.048
Space-group type: Pm-3m, No. 221

Quantum ESPRESSO input file:
```
&SYSTEM
  ibrav = 0, nat = 5, ntyp = 3
/
ATOMIC_SPECIES
Zr 91.22 Zr.upf
Se 78.96 Se.upf
Ge 72.64 Ge.upf
ATOMIC_POSITIONS angstrom
Zr -3.324 -1.384 -2.264
Se -0.242 0.208 -2.435
Se -2.323 0.740 0.295
Se -0.759 -2.332 -0.124
Ge 0.000 0.000 0.000
CELL_PARAMETERS angstrom
-0.485 0.417 -4.870
-1.518 -4.664 -0.248
-4.646 1.480 0.589
```


No. 2
# AcNd7In4

A geometry-optimized AcNd7In4 structure (PBE, Alexandria via LeMat-Bulk). Values from VASP.

ΔH_f (0 K) (eV per atom): -0.1191
Space-group type: C2/m, No. 12

Quantum ESPRESSO input file:
```
&SYSTEM
  ibrav = 0, nat = 12, ntyp = 3
/
ATOMIC_SPECIES
Nd 144.24 Nd.upf
In 114.82 In.upf
Ac 227.00 Ac.upf
ATOMIC_POSITIONS angstrom
Nd -6.751 -1.144 1.944
Nd -9.766 -0.481 5.644
Nd -7.659 -3.626 6.348
Nd -2.850 0.949 -0.053
Nd -11.155 -4.699 4.813
Nd -3.255 -0.071 3.479
Nd -4.644 -4.289 2.648
In -3.814 -1.908 0.621
In -6.481 -0.170 4.868
In -7.929 -4.600 3.424
In -10.596 -2.862 7.671
Ac 0.000 0.000 0.000
CELL_PARAMETERS angstrom
-5.700 1.898 -0.105
-5.742 -7.667 1.158
-2.968 0.999 7.240
```


No. 3
# SiBi4

A geometry-optimized SiBi4 structure (PBE, Alexandria via LeMat-Bulk). Values from VASP.

ΔE_f (raw) (eV per atom): 0.538
Space-group type: Pm-3m, No. 221

Quantum ESPRESSO input file:
```
&SYSTEM
  ibrav = 0, nat = 5, ntyp = 2
/
ATOMIC_SPECIES
Si 28.09 Si.upf
Bi 208.98 Bi.upf
ATOMIC_POSITIONS angstrom
Si 2.726 2.726 2.726
Bi 2.726 0.000 2.726
Bi 2.726 2.726 0.000
Bi 0.000 2.726 2.726
Bi 0.000 0.000 0.000
CELL_PARAMETERS angstrom
5.451 0.000 0.000
0.000 5.451 0.000
0.000 0.000 5.451
```